# KFe2F, relaxed, DFT PBE with a Hubbard U
# - symmetry = No. 141
# - density of states at the Fermi level (states/eV/cell) = 4.1
# - final energy (eV per atom) = -3.475
# - crystal system = tetragonal
# - calculated density (kg/m³) = 2370
# - magnetization (μB/cell) = 16.36
# - energy relative to the lowest polymorph listed for this composition (kJ/mol of atoms) = 0.00
data_KFe2F
_chemical_formula_sum 'K2 Fe4 F2'
_space_group_name_H-M_alt 'P 1'
_space_group_IT_number 1
_space_group_name_Hall 'P 1'
_cell_length_a 8.1098
_cell_length_b 8.1098
_cell_length_c 8.1098
_cell_angle_alpha 137.81
_cell_angle_beta 137.81
_cell_angle_gamma 61.19
loop_
_atom_site_label
_atom_site_type_symbol
_atom_site_fract_x
_atom_site_fract_y
_atom_site_fract_z
K1 K 0.3750 0.6250 0.7500
K2 K 0.6250 0.3750 0.2500
Fe1 Fe 0.0000 0.0000 0.0000
Fe2 Fe 0.0000 0.0000 0.5000
Fe3 Fe 0.0000 0.5000 0.0000
Fe4 Fe 0.5000 0.0000 0.5000
F1 F 0.1250 0.8750 0.2500
F2 F 0.8750 0.1250 0.7500